1.
A relaxed HfZrAs3 crystal, computed with PBE.

Computed properties:
* magnetic moment: 0.6 μB per cell
* DOS at the Fermi energy: 0.7666 states/eV/atom
* energy: -6.248 eV/atom
* formation enthalpy at 0 K: 0.24 eV per atom
* symmetry: Pm-3m
* crystal system: cubic

Unit cell a=5.048 b=5.048 c=5.048 alpha=90.00 beta=90.00 gamma=90.00
Atoms (fractional coordinates):
Zr1 0.500 0.500 0.500
As1 0.000 0.000 0.500
As2 0.500 0.000 0.000
As3 0.000 0.500 0.000
Hf1 0.000 0.000 0.000



2.
A relaxed HfZr2As2 crystal, computed with PBE.

Computed properties:
* magnetic moment: 0.0 μB per cell
* DOS at the Fermi energy: 0.4030 states/eV/atom
* energy: -7.703 eV/atom
* formation enthalpy at 0 K: -0.43 eV per atom
* symmetry: I4/mmm
* crystal system: tetragonal

Unit cell a=4.138 b=4.138 c=6.660 alpha=71.90 beta=71.90 gamma=90.00
Atoms (fractional coordinates):
As1 0.397 0.397 0.205
As2 0.603 0.603 0.795
Zr1 0.250 0.750 0.500
Zr2 0.750 0.250 0.500
Hf1 0.000 0.000 0.000



3.
A relaxed Hf4Zr3As4 crystal, computed with PBE.

Computed properties:
* magnetic moment: 0.0 μB per cell
* DOS at the Fermi energy: 0.5404 states/eV/atom
* energy: -8.484 eV/atom
* formation enthalpy at 0 K: -0.84 eV per atom
* symmetry: Immm
* crystal system: orthorhombic

Unit cell a=3.541 b=8.116 c=8.820 alpha=117.39 beta=101.58 gamma=90.00
Atoms (fractional coordinates):
Zr1 0.104 0.104 0.207
Zr2 0.896 0.896 0.793
Zr3 0.000 0.500 0.000
As1 0.743 0.243 0.486
As2 0.500 0.798 0.000
As3 0.257 0.757 0.514
As4 0.500 0.202 0.000
Hf1 0.668 0.855 0.335
Hf2 0.668 0.481 0.335
Hf3 0.332 0.145 0.665
Hf4 0.332 0.519 0.665



4.
A relaxed HfZr2As2 crystal, computed with PBE.

Computed properties:
* magnetic moment: 0.0 μB per cell
* DOS at the Fermi energy: 0.5099 states/eV/atom
* energy: -8.151 eV/atom
* formation enthalpy at 0 K: -0.88 eV per atom
* symmetry: Cmc2_1
* crystal system: orthorhombic

Unit cell a=3.719 b=7.022 c=8.083 alpha=90.00 beta=103.30 gamma=90.00
Atoms (fractional coordinates):
Hf1 0.625 0.596 0.250
Hf2 0.375 0.096 0.750
Zr1 0.181 0.948 0.362
Zr2 0.970 0.766 0.939
Zr3 0.030 0.266 0.061
Zr4 0.819 0.448 0.638
As1 0.801 0.846 0.603
As2 0.199 0.346 0.397
As3 0.551 0.978 0.102
As4 0.449 0.478 0.898



5.
A relaxed HfZr2As3 crystal, computed with PBE.

Computed properties:
* magnetic moment: 0.0 μB per cell
* DOS at the Fermi energy: 0.4224 states/eV/atom
* energy: -7.865 eV/atom
* formation enthalpy at 0 K: -1.03 eV per atom
* symmetry: Immm
* crystal system: orthorhombic

Unit cell a=3.874 b=5.439 c=6.688 alpha=113.99 beta=106.84 gamma=90.00
Atoms (fractional coordinates):
As1 0.163 0.663 0.825
As2 0.500 0.000 0.500
As3 0.837 0.337 0.175
Hf1 0.500 0.500 0.500
Zr1 0.829 0.829 0.158
Zr2 0.171 0.171 0.842



6.
A relaxed HfZr5As4 crystal, computed with PBE.

Computed properties:
* magnetic moment: 0.0 μB per cell
* DOS at the Fermi energy: 0.5301 states/eV/atom
* energy: -7.864 eV/atom
* formation enthalpy at 0 K: -0.73 eV per atom
* symmetry: C2/m
* crystal system: monoclinic

Unit cell a=3.751 b=7.611 c=8.330 alpha=107.42 beta=103.01 gamma=90.00
Atoms (fractional coordinates):
Zr1 0.190 0.346 0.380
Zr2 0.157 0.827 0.315
Zr3 0.500 0.500 0.000
Zr4 0.843 0.173 0.685
Zr5 0.810 0.654 0.620
As1 0.983 0.738 0.966
As2 0.017 0.262 0.034
As3 0.329 0.915 0.659
As4 0.671 0.085 0.341
Hf1 0.500 0.000 0.000



7.
A relaxed Hf5ZrAs5 crystal, computed with PBE.

Computed properties:
* magnetic moment: 0.0 μB per cell
* DOS at the Fermi energy: 0.5616 states/eV/atom
* energy: -8.195 eV/atom
* formation enthalpy at 0 K: -0.78 eV per atom
* symmetry: C2/m
* crystal system: monoclinic

Unit cell a=5.344 b=6.529 c=7.512 alpha=107.13 beta=90.00 gamma=114.15
Atoms (fractional coordinates):
Hf1 0.629 0.259 0.757
Hf2 0.371 0.741 0.243
Hf3 0.333 0.666 0.663
Hf4 0.000 0.000 0.500
Hf5 0.667 0.334 0.337
Zr1 0.000 0.000 0.000
As1 0.179 0.358 0.852
As2 0.831 0.662 0.668
As3 0.500 0.000 0.000
As4 0.821 0.642 0.148
As5 0.169 0.338 0.332



8.
A relaxed HgAs4 crystal, computed with PBE.

Computed properties:
* magnetic moment: 0.0 μB per cell
* DOS at the Fermi energy: 0.3780 states/eV/atom
* energy: -3.104 eV/atom
* formation enthalpy at 0 K: 0.68 eV per atom
* symmetry: Im-3m
* crystal system: cubic

Unit cell a=5.472 b=5.472 c=5.472 alpha=109.47 beta=109.47 gamma=109.47
Atoms (fractional coordinates):
As1 0.000 0.500 0.000
As2 0.500 0.500 0.500
As3 0.500 0.000 0.000
As4 0.000 0.000 0.500
Hg1 0.000 0.000 0.000



9.
A relaxed Hg5As4 crystal, computed with PBE.

Computed properties:
* magnetic moment: 0.0 μB per cell
* DOS at the Fermi energy: 0.4587 states/eV/atom
* energy: -1.962 eV/atom
* formation enthalpy at 0 K: 0.27 eV per atom
* symmetry: P6_3/mcm
* crystal system: hexagonal

Unit cell a=9.798 b=9.798 c=5.850 alpha=90.00 beta=90.00 gamma=120.00
Atoms (fractional coordinates):
As1 0.000 0.000 0.000
As2 0.505 0.505 0.250
As3 0.000 0.505 0.750
As4 0.000 0.495 0.250
As5 0.505 0.000 0.750
As6 0.495 0.000 0.250
As7 0.495 0.495 0.750
As8 0.000 0.000 0.500
Hg1 0.000 0.244 0.750
Hg2 0.333 0.667 0.500
Hg3 0.000 0.756 0.250
Hg4 0.667 0.333 0.000
Hg5 0.244 0.000 0.750
Hg6 0.333 0.667 0.000
Hg7 0.667 0.333 0.500
Hg8 0.756 0.000 0.250
Hg9 0.244 0.244 0.250
Hg10 0.756 0.756 0.750



10.
A relaxed HgAs crystal, computed with PBE.

Computed properties:
* magnetic moment: 0.0 μB per cell
* DOS at the Fermi energy: 0.6347 states/eV/atom
* energy: -2.144 eV/atom
* formation enthalpy at 0 K: 0.33 eV per atom
* symmetry: P6_3mc
* crystal system: hexagonal

Unit cell a=4.212 b=4.212 c=7.502 alpha=90.00 beta=90.00 gamma=120.00
Atoms (fractional coordinates):
Hg1 0.333 0.667 0.360
Hg2 0.667 0.333 0.860
As1 0.333 0.667 0.011
As2 0.667 0.333 0.511



11.
A relaxed HgAs crystal, computed with PBE.

Computed properties:
* magnetic moment: 0.0 μB per cell
* DOS at the Fermi energy: 0.1817 states/eV/atom
* energy: -2.347 eV/atom
* formation enthalpy at 0 K: 0.13 eV per atom
* symmetry: Pmmn
* crystal system: orthorhombic

Unit cell a=4.723 b=7.374 c=11.389 alpha=90.00 beta=90.00 gamma=90.00
Atoms (fractional coordinates):
Hg1 0.000 0.660 0.847
Hg2 0.500 0.218 0.000
Hg3 0.000 0.660 0.153
Hg4 0.000 0.782 0.500
Hg5 0.500 0.340 0.347
Hg6 0.500 0.340 0.653
As1 0.500 0.596 0.500
As2 0.000 0.943 0.284
As3 0.500 0.057 0.784
As4 0.000 0.404 0.000
As5 0.500 0.057 0.216
As6 0.000 0.943 0.716



12.
A relaxed HgAs crystal, computed with PBE.

Computed properties:
* magnetic moment: 0.0 μB per cell
* DOS at the Fermi energy: 0.5623 states/eV/atom
* energy: -2.161 eV/atom
* formation enthalpy at 0 K: 0.31 eV per atom
* symmetry: F-43m
* crystal system: cubic

Unit cell a=4.345 b=4.345 c=4.345 alpha=60.00 beta=60.00 gamma=60.00
Atoms (fractional coordinates):
Hg1 0.750 0.750 0.750
As1 0.000 0.000 0.000



What is the formula in the second record?
HfZr2As2



Which value of magnetic moment does entry 6 give?
0.0 μB per cell



Which of these has the highest formation enthalpy at 0 K?
HgAs4



What is the energy in the fifth record?
-7.865 eV/atom